Computed, not measured: crystalline ZrTlOF2 at its relaxed geometry at the GGA-PBEsol level of DFT.

- symmetry = P4/mmm
- relative energy among the computed polymorphs (eV per formula unit) = 0.00
- total DFT energy (no corrections) (eV/atom) = -6.644

extended XYZ file:
```
5
Lattice="4.0797 0.0000 0.0000 0.0000 4.3836 0.0000 0.0000 0.0000 4.3836" Properties=species:S:1:pos:R:3 pbc="T T T"
Tl 2.0398 2.1918 2.1918
F 0.0000 2.1918 0.0000
Zr 0.0000 0.0000 0.0000
O 2.0398 0.0000 0.0000
F 0.0000 0.0000 2.1918
```

Computed, not measured: crystalline TmOF at its relaxed geometry at the GGA-PBEsol level of DFT.

- symmetry = P2_1/c
- total DFT energy (no corrections) (eV/atom) = -8.034

extended XYZ file:
```
12
Lattice="5.3691 0.0000 0.0000 0.0000 5.4701 -0.0030 0.0000 -0.9479 5.3823" Properties=species:S:1:pos:R:3 pbc="T T T"
F 4.3832 2.2204 4.5937
Tm 5.2281 4.2021 1.1418
Tm 0.1410 0.3201 4.2374
O 1.3288 4.8001 2.6355
F 3.6705 2.6944 1.9025
Tm 2.8256 3.7281 3.8330
Tm 2.5435 0.7941 1.5463
O 4.0403 -0.2779 2.7438
F 1.6987 1.8278 3.4768
O 1.3557 4.3261 5.3266
O 4.0134 0.1961 0.0526
F 0.9859 2.3017 0.7856
```

Computed, not measured: crystalline V4O3F9 at its relaxed geometry at the GGA-PBEsol level of DFT.

- symmetry = C2
- relative energy among the computed polymorphs (eV per formula unit) = 0.41
- total DFT energy (no corrections) (eV/atom) = -7.222

extended XYZ file:
```
16
Lattice="5.2431 0.0000 0.0000 -2.6215 4.5645 -0.0748 0.0000 -2.5427 8.4743" Properties=species:S:1:pos:R:3 pbc="T T T"
F 0.3529 2.2935 0.3303
F 0.9329 -1.9426 6.7482
F -1.6886 3.9644 1.6514
V -0.6741 1.8962 5.1995
F 3.0106 0.9963 4.5491
F 0.3890 1.0255 3.8504
F 3.5681 -0.5850 2.4331
O 1.7262 -1.2714 4.2372
V 1.9474 0.1255 3.2001
O -0.4055 0.3353 6.3192
V -0.6220 -0.9671 7.3117
V 1.9995 2.9889 1.0878
O 2.2161 1.6864 2.0804
F 2.9745 -0.2718 8.0692
F 4.2986 0.0000 0.0000
F 0.9466 2.6067 5.9664
```

Computed, not measured: crystalline V2O3F at its relaxed geometry at the GGA-PBEsol level of DFT.

- symmetry = Imma
- relative energy among the computed polymorphs (eV per formula unit) = 0.17
- total DFT energy (no corrections) (eV/atom) = -8.630

extended XYZ file:
```
12
Lattice="-1.9178 5.0229 0.8535 -0.1140 -1.8587 -5.1155 -5.3073 0.0670 -1.2101" Properties=species:S:1:pos:R:3 pbc="T T T"
F -3.1055 2.0091 -4.6078
V -3.6696 1.6156 -2.7361
F -4.2337 1.2221 -0.8643
V -0.7639 -0.0645 -3.4737
O -2.1509 0.4498 -2.4306
O -2.6491 3.1077 -2.1148
O -5.5920 3.5643 -0.3729
O -4.6901 0.1235 -3.3573
O -5.1882 2.7814 -3.0415
V -2.6536 0.0335 -0.6050
O -1.6332 1.5256 0.0162
V -6.5752 3.2957 -1.9985
```

Computed, not measured: crystalline VOF3 at its relaxed geometry at the GGA-PBEsol level of DFT.

- symmetry = C2/c
- total DFT energy (no corrections) (eV/atom) = -6.726

extended XYZ file:
```
20
Lattice="-4.5850 2.1313 1.6785 -2.3752 -1.8194 4.2777 5.5775 7.1233 6.1965" Properties=species:S:1:pos:R:3 pbc="T T T"
O 1.2726 7.7467 6.7998
V -2.9050 0.8556 6.5310
F -0.1664 5.6636 8.5917
F -4.4521 1.1431 3.1163
F -1.2162 1.7716 3.5609
F 1.9378 5.1629 6.5259
F -3.3204 2.2724 5.6268
F 3.0695 6.2922 9.0363
O -2.4158 4.4370 9.3846
F 3.8043 6.8190 6.1581
V 2.7888 3.5616 3.0982
F -1.7602 4.7496 6.2500
V 1.5223 6.5796 5.6217
F -0.2118 3.1592 8.2922
F -1.1709 4.2761 3.8605
V 0.0000 0.0000 0.0000
O -2.6553 -0.3114 5.3528
F -5.1869 0.6163 5.9945
O 1.0331 2.9982 2.7680
F 0.3776 2.6857 5.9026
```

Computed, not measured: crystalline VOF3 at its relaxed geometry at the GGA-PBEsol level of DFT.

- symmetry = Pna2_1
- total DFT energy (no corrections) (eV/atom) = -6.742

extended XYZ file:
```
20
Lattice="5.3063 0.0000 0.0000 0.0000 5.4796 0.0000 0.0000 0.0000 9.3438" Properties=species:S:1:pos:R:3 pbc="T T T"
F 0.4614 0.0358 0.7242
F 2.1896 0.0490 5.3817
F 1.3463 4.2609 2.6834
V 0.1091 2.3144 7.0560
F 3.9995 1.5211 1.9885
V 2.7622 5.0542 6.9597
O 3.8692 3.9696 6.6078
F 4.8428 5.4307 3.9622
V 0.1091 0.4254 2.3841
F 0.4614 2.7041 5.3961
F 2.1896 2.6908 0.7097
O 1.2161 1.5101 2.7360
F 3.9995 1.2187 6.6604
O 1.2161 1.2297 7.4079
F 3.1146 2.7756 3.9478
F 4.8428 2.7888 8.6341
F 3.1146 5.4439 8.6197
O 3.8692 4.2499 1.9359
F 1.3463 3.9585 7.3553
V 2.7622 3.1652 2.2878
```

Computed, not measured: crystalline V2O2F3 at its relaxed geometry at the GGA-PBEsol level of DFT.

- symmetry = C2/c
- relative energy among the computed polymorphs (eV per formula unit) = 0.00
- total DFT energy (no corrections) (eV/atom) = -7.736

extended XYZ file:
```
14
Lattice="-4.5898 -1.6240 1.0661 4.0511 -3.6014 0.3047 -0.0339 3.9014 5.7970" Properties=species:S:1:pos:R:3 pbc="T T T"
F -0.4345 0.4452 3.0225
V 0.9500 -2.1727 1.1729
F -0.1536 -1.7386 4.1255
F 2.3056 -1.2661 5.0399
O 0.2074 0.5406 5.5537
V 1.0878 -0.1673 4.0355
F 2.7927 -2.6528 0.5465
V -1.6759 -1.1260 3.1124
O -0.7955 -1.8338 1.5942
F -3.3807 1.3594 6.6014
O -2.3244 -0.4181 4.8439
F 1.1574 -3.6291 2.4121
V -1.5381 0.8795 5.9750
O 1.7362 -0.8751 2.3040
```

Computed, not measured: crystalline V3OF7 at its relaxed geometry at the GGA-PBEsol level of DFT.

- symmetry = Cmcm
- total DFT energy (no corrections) (eV/atom) = -7.034

extended XYZ file:
```
22
Lattice="3.8962 0.0000 0.0000 -1.9481 7.4949 0.0000 0.0000 0.0000 9.7263" Properties=species:S:1:pos:R:3 pbc="T T T"
O 0.0000 3.0949 2.4316
V 1.9481 4.8136 5.5778
V 1.9481 4.8136 9.0117
F 1.9481 6.7002 5.9574
O 1.9481 4.4000 7.2948
F 1.9481 5.4684 3.7230
F 0.0000 4.5326 9.3871
F 1.9481 2.9623 4.5240
V 0.0000 2.6813 4.1485
F 1.9481 6.7002 8.6321
F 0.0000 2.0265 8.5862
V 0.0000 0.5986 7.2948
F 0.0000 2.0265 6.0033
F 1.9481 5.4684 1.1401
F 0.0000 4.5326 5.2024
V 0.0000 2.6813 0.7147
F 0.0000 6.9265 2.4316
F 1.9481 2.9623 0.3392
F 1.9481 0.5684 7.2948
F 0.0000 0.7947 1.0942
F 0.0000 0.7947 3.7690
V 1.9481 6.8963 2.4316
```

Computed, not measured: crystalline V3O5F at its relaxed geometry at the GGA-PBEsol level of DFT.

- symmetry = P2/m
- relative energy among the computed polymorphs (eV per formula unit) = 0.04
- total DFT energy (no corrections) (eV/atom) = -8.815

extended XYZ file:
```
18
Lattice="2.8372 0.0000 0.0000 0.0000 4.5973 -0.0009 0.0000 -0.6095 13.7768" Properties=species:S:1:pos:R:3 pbc="T T T"
O 1.4186 0.3572 12.8732
V 0.0000 0.0000 0.0000
O 0.0000 3.0896 3.2262
F 1.4186 3.2334 10.0973
O 1.4186 0.5771 8.2259
F 1.4186 0.7543 3.6787
V 0.0000 -0.2972 9.0665
O 0.0000 0.8982 10.5498
O 1.4186 3.4107 5.5501
O 0.0000 1.1061 5.9429
V 1.4186 1.6446 11.6085
O 0.0000 2.6704 12.3724
V 0.0000 4.2850 4.7095
O 1.4186 3.6306 0.9028
V 1.4186 1.9939 6.8880
V 1.4186 2.3432 2.1674
O 0.0000 1.3174 1.4036
O 0.0000 2.8817 7.8331
```

Computed, not measured: crystalline V2O3F at its relaxed geometry at the GGA-PBEsol level of DFT.

- symmetry = C2
- relative energy among the computed polymorphs (eV per formula unit) = 0.10
- total DFT energy (no corrections) (eV/atom) = -8.640

extended XYZ file:
```
18
Lattice="-4.7132 2.1568 -1.6517 -2.5120 -4.1831 -2.4055 -5.0592 -2.2566 4.2056" Properties=species:S:1:pos:R:3 pbc="T T T"
O -4.2603 -1.7907 2.5484
O -6.5661 -2.6421 3.1297
V -9.0504 -3.2224 0.7886
V -5.7123 -2.3643 1.4133
V -2.6012 -3.9261 -2.3749
V -6.4418 -2.2939 -1.3094
O -8.0189 -2.5072 -2.4017
V -3.2424 -1.0364 -0.6373
F -7.1625 -0.2417 -1.0715
F -4.0660 0.2926 -1.8733
O -3.1894 -2.2322 -2.1735
O -4.9726 -1.7065 -0.2220
V -5.0784 -5.2054 -0.2900
O -5.1243 -4.0909 1.2051
F -6.4180 -0.3084 1.6638
O -7.3079 -2.5876 0.3692
O -5.7243 -1.6235 -2.9792
O -5.8331 -4.0140 -1.5110
```

Computed, not measured: crystalline V2O3F at its relaxed geometry at the GGA-PBEsol level of DFT.

- symmetry = C2/m
- relative energy among the computed polymorphs (eV per formula unit) = 0.55
- total DFT energy (no corrections) (eV/atom) = -8.567

extended XYZ file:
```
12
Lattice="-3.6199 0.7957 2.6977 1.5483 -3.8383 3.5209 1.9524 5.0021 0.8333" Properties=species:S:1:pos:R:3 pbc="T T T"
O -1.6271 1.7287 2.7399
F -1.1613 -0.1244 4.7067
V -0.0597 0.9797 3.5259
V 0.7741 -1.9192 1.7604
O 0.1008 2.3032 4.8892
O 0.8844 -2.3314 3.6519
O -1.0037 4.2908 3.3999
V 0.9762 2.5010 0.4166
V -1.8100 0.3979 1.3488
O -0.2201 -0.3437 2.1626
O 1.5078 0.2307 4.3119
F 1.0420 2.0839 2.3451
```

Computed, not measured: crystalline VOF3 at its relaxed geometry at the GGA-PBEsol level of DFT.

- symmetry = Pca2_1
- total DFT energy (no corrections) (eV/atom) = -6.744

extended XYZ file:
```
20
Lattice="5.3511 0.0000 0.0000 0.0000 7.2146 0.0000 0.0000 0.0000 8.0437" Properties=species:S:1:pos:R:3 pbc="T T T"
F 3.8897 6.7242 3.3247
V 0.1109 3.5145 4.3432
F 4.7457 1.8355 0.0362
F 3.8897 4.0977 7.3465
V 5.2402 7.1218 4.3432
F 1.5233 0.4900 4.4367
F 3.8279 4.0973 4.4367
O 0.6156 3.3694 5.8343
O 4.7356 6.9767 5.8343
V 0.1109 0.0927 0.3213
O 4.7356 3.8452 1.8125
F 0.6054 5.4428 0.0362
F 1.4614 3.1169 3.3247
F 4.7457 1.7717 4.0580
F 1.4614 0.4904 7.3465
F 0.6054 5.3790 4.0580
F 1.5233 3.1173 0.4148
F 3.8279 6.7246 0.4148
O 0.6156 0.2379 1.8125
V 5.2402 3.7000 0.3213
```

Ordered M_tot results: 0.8; 0.0; 5.0; 3.0; 0.0; 0.0; 3.0; 6.0; 4.0; 3.0; 3.0; 0.0; unit μB per formula unit.